VASP calculation (PBE with a Hubbard U) on a geometry-optimized CsW2F8 structure.

The structure in POSCAR format:
```
CsW2F8
1.0
3.3493 -5.4694 0.0000
3.3493 5.4694 0.0000
-0.2506 0.0000 4.2821
Cs W F
1 2 8
direct
0.0000 0.0000 0.0000
0.3289 0.6711 0.5000
0.6711 0.3289 0.5000
0.0198 0.3462 0.5999
0.3077 0.6923 0.0000
0.3462 0.0198 0.5999
0.3796 0.3796 0.3037
0.6204 0.6204 0.6963
0.6538 0.9802 0.4001
0.6923 0.3077 0.0000
0.9802 0.6538 0.4001
```

theoretical density: 6.91 Mg/m³
Fermi-level density of states: 2.270 states/eV/f.u.
size of the total moment: 3.00 μB/cell
uncorrected energy: -5.19 eV per atom